A relaxed TiCu4Pd5 crystal, computed with PBE-GGA.

Lattice parameters (Å, degrees): 3.159 3.159 14.207 90.00 90.00 90.00
Fractional coordinates of all 10 atoms:
Ti1 0.000 0.000 0.000
Cu1 0.000 0.000 0.204
Cu2 0.000 0.000 0.401
Cu3 0.000 0.000 0.599
Cu4 0.000 0.000 0.796
Pd1 0.500 0.500 0.101
Pd2 0.500 0.500 0.300
Pd3 0.500 0.500 0.500
Pd4 0.500 0.500 0.700
Pd5 0.500 0.500 0.899

Values from the calculation:
calculated total energy: -0.388 Ry/atom
D(E_F): 4.2 states/eV/f.u.
total moment: 0.0000 μB/atom


A relaxed Ti6CuPd8 crystal, computed with PBE-GGA.

Lattice parameters (Å, degrees): 6.839 6.839 6.839 63.98 63.98 63.98
Fractional coordinates of all 15 atoms:
Ti1 0.111 0.645 0.401
Ti2 0.355 0.599 0.889
Ti3 0.401 0.111 0.645
Ti4 0.599 0.889 0.355
Ti5 0.645 0.401 0.111
Ti6 0.889 0.355 0.599
Cu1 0.000 0.000 0.000
Pd1 0.120 0.377 0.852
Pd2 0.148 0.880 0.623
Pd3 0.264 0.264 0.264
Pd4 0.377 0.852 0.120
Pd5 0.623 0.148 0.880
Pd6 0.736 0.736 0.736
Pd7 0.852 0.120 0.377
Pd8 0.880 0.623 0.148

Values from the calculation:
calculated total energy: -0.481 Ry/atom
D(E_F): 16.1 states/eV/f.u.
total moment: 0.1269 μB/atom


A relaxed TiCuPd6 crystal, computed with PBE-GGA.

Lattice parameters (Å, degrees): 4.620 4.620 7.164 106.31 106.31 70.34
Fractional coordinates of all 8 atoms:
Ti1 0.000 0.000 0.000
Cu1 0.500 0.500 0.500
Pd1 0.050 0.563 0.198
Pd2 0.147 0.147 0.437
Pd3 0.437 0.950 0.802
Pd4 0.563 0.050 0.198
Pd5 0.853 0.853 0.563
Pd6 0.950 0.437 0.802

Values from the calculation:
D(E_F): 5.3 states/eV/f.u.
relative energy among the computed polymorphs: 30.6 kJ per mole of atoms
total moment: 0.0000 μB/atom


A relaxed Ti3CuPd2 crystal, computed with PBE-GGA.

Lattice parameters (Å, degrees): 7.954 7.954 7.954 160.31 144.30 41.09
Fractional coordinates of all 6 atoms:
Ti1 0.000 0.000 0.000
Ti2 0.322 0.822 0.500
Ti3 0.678 0.178 0.500
Cu1 0.500 0.000 0.500
Pd1 0.153 0.653 0.500
Pd2 0.847 0.347 0.500

Values from the calculation:
calculated total energy: -0.470 Ry/atom
D(E_F): 7.3 states/eV/f.u.
total moment: 0.0000 μB/atom


A relaxed Ti4Cu4Pd3 crystal, computed with PBE-GGA.

Lattice parameters (Å, degrees): 15.374 15.374 15.374 169.51 166.12 17.43
Fractional coordinates of all 11 atoms:
Ti1 0.049 0.049 0.000
Ti2 0.316 0.316 0.000
Ti3 0.684 0.684 0.000
Ti4 0.951 0.951 0.000
Cu1 0.230 0.230 0.000
Cu2 0.407 0.407 0.000
Cu3 0.593 0.593 0.000
Cu4 0.770 0.770 0.000
Pd1 0.138 0.138 0.000
Pd2 0.500 0.500 0.000
Pd3 0.862 0.862 0.000

Values from the calculation:
D(E_F): 9.5 states/eV/f.u.
relative energy among the computed polymorphs: 0.0 kJ per mole of atoms
total moment: 0.0008 μB/atom


A relaxed TiCuPd5 crystal, computed with PBE-GGA.

Lattice parameters (Å, degrees): 4.068 4.068 6.698 90.00 90.00 90.00
Fractional coordinates of all 7 atoms:
Ti1 0.000 0.000 0.000
Cu1 0.500 0.500 0.500
Pd1 0.000 0.500 0.272
Pd2 0.000 0.500 0.728
Pd3 0.500 0.000 0.272
Pd4 0.500 0.000 0.728
Pd5 0.500 0.500 0.000

Values from the calculation:
D(E_F): 9.2 states/eV/f.u.
relative energy among the computed polymorphs: 0.0 kJ per mole of atoms
total moment: 0.0000 μB/atom


A relaxed Ti4CuPd5 crystal, computed with PBE-GGA.

Lattice parameters (Å, degrees): 3.321 3.321 14.083 90.00 90.00 90.00
Fractional coordinates of all 10 atoms:
Ti1 0.000 0.000 0.100
Ti2 0.000 0.000 0.308
Ti3 0.000 0.000 0.692
Ti4 0.000 0.000 0.900
Cu1 0.000 0.000 0.500
Pd1 0.500 0.500 0.000
Pd2 0.500 0.500 0.203
Pd3 0.500 0.500 0.403
Pd4 0.500 0.500 0.597
Pd5 0.500 0.500 0.797

Values from the calculation:
calculated total energy: -0.487 Ry/atom
D(E_F): 11.1 states/eV/f.u.
total moment: 0.0000 μB/atom


A relaxed Ti5Cu2Pd12 crystal, computed with PBE-GGA.

Lattice parameters (Å, degrees): 7.829 7.829 8.638 106.62 106.62 39.90
Fractional coordinates of all 19 atoms:
Ti1 0.000 0.000 0.000
Ti2 0.329 0.329 0.168
Ti3 0.359 0.359 0.646
Ti4 0.641 0.641 0.354
Ti5 0.671 0.671 0.832
Cu1 0.260 0.740 0.500
Cu2 0.740 0.260 0.500
Pd1 0.048 0.567 0.397
Pd2 0.084 0.585 0.906
Pd3 0.087 0.087 0.780
Pd4 0.415 0.916 0.094
Pd5 0.433 0.952 0.603
Pd6 0.492 0.492 0.148
Pd7 0.508 0.508 0.852
Pd8 0.567 0.048 0.397
Pd9 0.585 0.084 0.906
Pd10 0.913 0.913 0.220
Pd11 0.916 0.415 0.094
Pd12 0.952 0.433 0.603

Values from the calculation:
calculated total energy: -0.444 Ry/atom
D(E_F): 11.5 states/eV/f.u.
total moment: 0.0000 μB/atom


Question: Which value of total moment does entry 3 give?
Answer: 0.0000 μB/atom


Question: total moment of number 8 (Ti5Cu2Pd12)?
Answer: 0.0000 μB/atom